(1)
# HRu2Au2 | the Alexandria database | PBE | relaxed
data_HRu2Au2
_chemical_formula_sum 'H2 Ru4 Au4'
_cell_length_a 5.338
_cell_length_b 5.338
_cell_length_c 4.885
_cell_angle_alpha 90.00
_cell_angle_beta 90.00
_cell_angle_gamma 90.00
_symmetry_space_group_name_H-M 'P 4/m b m'
_symmetry_Int_Tables_number 127
_symmetry_space_group_name_Hall '-P 4 2ab'
loop_
_atom_site_label
_atom_site_fract_x
_atom_site_fract_y
_atom_site_fract_z
H1 0.000 0.000 0.000
Ru1 0.165 0.335 0.000
Au1 0.178 0.678 0.500
# Total DFT energy (no corrections) (eV per atom): -5.258



(2)
# MnAl3Tc | the Alexandria database | PBE | relaxed
data_MnAl3Tc
_chemical_formula_sum 'Mn1 Al3 Tc1'
_cell_length_a 4.701
_cell_length_b 4.701
_cell_length_c 4.701
_cell_angle_alpha 90.00
_cell_angle_beta 90.00
_cell_angle_gamma 90.00
_symmetry_space_group_name_H-M 'P m -3 m'
_symmetry_Int_Tables_number 221
_symmetry_space_group_name_Hall '-P 4 2 3'
loop_
_atom_site_label
_atom_site_fract_x
_atom_site_fract_y
_atom_site_fract_z
Mn1 0.000 0.000 0.000
Al1 0.000 0.500 0.500
Tc1 0.500 0.500 0.500
# Energy above the lowest structure with this stoichiometry (meV/atom): 0
# ΔH_f (0 K) (eV/atom): 0.4593



(3)
# Pu6PtRh5 | the Alexandria database | PBE | relaxed
data_Pu6PtRh5
_chemical_formula_sum 'Pu12 Pt2 Rh10'
_cell_length_a 5.014
_cell_length_b 15.630
_cell_length_c 6.177
_cell_angle_alpha 90.00
_cell_angle_beta 90.00
_cell_angle_gamma 90.00
_symmetry_space_group_name_H-M 'C m m m'
_symmetry_Int_Tables_number 65
_symmetry_space_group_name_Hall '-C 2 2'
loop_
_atom_site_label
_atom_site_fract_x
_atom_site_fract_y
_atom_site_fract_z
Pu1 0.000 0.000 0.248
Pu2 0.000 0.333 0.249
Pt1 0.000 0.500 0.500
Rh1 0.000 0.170 0.000
Rh2 0.000 0.172 0.500
Rh3 0.000 0.500 0.000
# ΔH_f (0 K) (eV/atom): -0.4496



(4)
# ZnAuCl | the Alexandria database | PBE | relaxed
data_ZnAuCl
_chemical_formula_sum 'Zn4 Au4 Cl4'
_cell_length_a 14.026
_cell_length_b 3.318
_cell_length_c 5.753
_cell_angle_alpha 90.00
_cell_angle_beta 90.00
_cell_angle_gamma 90.00
_symmetry_space_group_name_H-M 'A m m 2'
_symmetry_Int_Tables_number 38
loop_
_symmetry_equiv_pos_as_xyz
'x,y,z'
'-x,-y,z'
'-x,y,z'
'x,-y,z'
'x,y+1/2,z+1/2'
'-x,-y+1/2,z+1/2'
'-x,y+1/2,z+1/2'
'x,-y+1/2,z+1/2'
loop_
_atom_site_label
_atom_site_fract_x
_atom_site_fract_y
_atom_site_fract_z
Zn1 0.000 0.000 0.000
Zn2 0.500 0.000 0.218
Au1 0.127 0.000 0.333
Cl1 0.389 0.000 0.885
# Energy above the lowest structure with this stoichiometry (meV/atom): 217
# ΔE_f (raw) (meV/atom): -314



Copy entry 1 word for word.
# HRu2Au2 | the Alexandria database | PBE | relaxed
data_HRu2Au2
_chemical_formula_sum 'H2 Ru4 Au4'
_cell_length_a 5.338
_cell_length_b 5.338
_cell_length_c 4.885
_cell_angle_alpha 90.00
_cell_angle_beta 90.00
_cell_angle_gamma 90.00
_symmetry_space_group_name_H-M 'P 4/m b m'
_symmetry_Int_Tables_number 127
_symmetry_space_group_name_Hall '-P 4 2ab'
loop_
_atom_site_label
_atom_site_fract_x
_atom_site_fract_y
_atom_site_fract_z
H1 0.000 0.000 0.000
Ru1 0.165 0.335 0.000
Au1 0.178 0.678 0.500
# Total DFT energy (no corrections) (eV per atom): -5.258



> Number 1 is which compound?

HRu2Au2